No. 1
A plane-wave DFT calculation with GGA-PBEsol was carried out for a relaxed structure of Ce2C2Cl.

Properties
magnetic moment = 2.0 μB per cell
density = 6.32 g cm⁻³
raw formation energy = -0.8756 eV per atom

Cell lengths 4.0846, 6.4273, 7.2177 Å; angles 100.27, 106.44, 90.00 degrees
Closest atoms and distances in Å follow each position.
Fractional coordinates of all 10 atoms:
Ce 0.5360 0.3535 0.7041  2 C 2.27-2.52
Ce 0.8319 0.1465 0.2959  2 C 2.27-2.52
Ce 0.4640 0.6465 0.2959  2 C 2.27-2.52
Ce 0.1681 0.8535 0.7041  2 C 2.27-2.52
C 0.9074 0.4732 0.5599  1 C 1.38
C 0.3475 0.0268 0.4401  1 C 1.38
C 0.0926 0.5268 0.4401  1 C 1.38
C 0.6525 0.9732 0.5599  1 C 1.38
Cl 0.1941 0.2500 0.0000  6 Ce 3.00-3.08
Cl 0.8059 0.7500 0.0000  6 Ce 3.00-3.08

No. 2
A plane-wave DFT calculation with GGA-PBEsol was carried out for a relaxed structure of CeCoC2.

Properties
magnetic moment = 0.4 μB per cell
E = -70.0 eV for the cell shown
density = 7.59 g cm⁻³

Cell lengths 3.6862, 3.6862, 7.2962 Å; angles 82.86, 82.86, 90.02 degrees
Closest atoms and distances in Å follow each position.
Fractional coordinates of all 8 atoms:
Ce 0.0603 0.9332 0.9990  8 C 2.60-2.71
Ce 0.9332 0.0603 0.4990  8 C 2.60-2.71
Co 0.3777 0.5090 0.6952  4 C 1.91-1.96
Co 0.5090 0.3777 0.1952  4 C 1.91-1.96
C 0.4434 0.5919 0.4289  1 C 1.40
C 0.5919 0.4434 0.9289  1 C 1.40
C 0.4902 0.8614 0.2738  1 C 1.40
C 0.8614 0.4902 0.7738  1 C 1.40